# 1
Here is a relaxed structure of Dy8C3O from the Alexandria database. Energies are from PBE.

Summary:
**Uncorrected formation energy**: -0.696 eV per atom

Cell lengths 7.1199, 7.1199, 18.0994 Å; angles 90.00, 90.00, 120.00 degrees
Space group R-3m (No. 166, hexagonal axes)
Asymmetric unit:
Dy: 0.0000 0.0000 0.2429 (multiplicity 6)
Dy: 0.0034 0.5017 0.7586 (multiplicity 18)
C: 0.0000 0.5000 0.5000 (multiplicity 9)
O: 0.0000 0.0000 0.5000 (multiplicity 3)



# 2
Here is a relaxed structure of DyC2O6 from the Alexandria database. Energies are from PBE.

Summary:
**Uncorrected formation energy**: -1.858 eV per atom

Cell lengths 10.154, 7.486, 6.569 Å; angles 90.00, 124.70, 90.00 degrees
Space group C2/c (No. 15)
Asymmetric unit:
Dy: 0.000 0.187 0.250 (multiplicity 4)
C: 0.221 0.445 0.133 (multiplicity 8)
O: 0.122 0.318 0.071 (multiplicity 8)
O: 0.130 0.066 0.683 (multiplicity 8)
O: 0.177 0.409 0.506 (multiplicity 8)



# 3
Here is a relaxed structure of Dy2C2O from the Alexandria database. Energies are from PBE.

Summary:
**Uncorrected formation energy**: -1.297 eV per atom

Cell lengths 12.761, 4.137, 6.342 Å; angles 90.00, 109.43, 90.00 degrees
Space group C2/c (No. 15)
Asymmetric unit:
Dy: 0.132 0.155 0.092 (multiplicity 8)
C: 0.222 0.376 0.522 (multiplicity 8)
O: 0.000 0.025 0.750 (multiplicity 4)



# 4
Here is a relaxed structure of Dy2CO5 from the Alexandria database. Energies are from PBE.

Summary:
**Excess energy over the best structure of this formula in the dataset**: 0.0 kJ/mol of atoms
**Uncorrected formation energy**: -2.829 eV per atom

Cell lengths 3.793, 6.884, 15.172 Å; angles 90.00, 90.00, 90.00 degrees
Space group Cmcm (No. 63)
Asymmetric unit:
Dy: 0.000 0.165 0.093 (multiplicity 8)
C: 0.000 0.429 0.250 (multiplicity 4)
O: 0.000 0.163 0.557 (multiplicity 8)
O: 0.000 0.243 0.250 (multiplicity 4)
O: 0.000 0.483 0.674 (multiplicity 8)



# 5
Here is a relaxed structure of Dy8C4O3 from the Alexandria database. Energies are from PBE.

Summary:
**Uncorrected formation energy**: -1.414 eV per atom

Cell lengths 9.962, 10.018, 7.037 Å; angles 90.00, 134.76, 90.00 degrees
Space group C2/m (No. 12)
Asymmetric unit:
Dy: 0.000 0.243 0.000 (multiplicity 4)
Dy: 0.000 0.253 0.500 (multiplicity 4)
Dy: 0.246 0.000 0.000 (multiplicity 4)
Dy: 0.246 0.000 0.482 (multiplicity 4)
C: 0.000 0.000 0.000 (multiplicity 2)
C: 0.000 0.500 0.500 (multiplicity 2)
C: 0.250 0.250 0.000 (multiplicity 4)
O: 0.000 0.000 0.500 (multiplicity 2)
O: 0.250 0.250 0.500 (multiplicity 4)



# 6
Here is a relaxed structure of DyCO from the Alexandria database. Energies are from PBE.

Summary:
**Uncorrected formation energy**: -1.471 eV per atom

Cell lengths 6.316, 2.885, 7.543 Å; angles 90.00, 90.00, 90.00 degrees
Space group Pnma (No. 62)
Asymmetric unit:
Dy: 0.187 0.250 0.167 (multiplicity 4)
C: 0.040 0.250 0.502 (multiplicity 4)
O: 0.094 0.250 0.848 (multiplicity 4)



Which of these has the lowest uncorrected formation energy?
Dy2CO5



Look up the uncorrected formation energy of the sixth one.
-1.471 eV per atom



The lowest uncorrected formation energy belongs to which entry?
Dy2CO5